A relaxed structure of Ho5Rh2Pb2. Source: the Alexandria database, functional PBE.

Total moment (μB/atom): 0.0000
DFT formation energy (eV/atom): -0.6428
Space group: Cmce

Geometry as CIF:
```
data_Ho5Rh2Pb2
_chemical_formula_sum 'Ho10 Rh4 Pb4'
_cell_length_a 7.195
_cell_length_b 8.428
_cell_length_c 8.846
_cell_angle_alpha 118.45
_cell_angle_beta 90.00
_cell_angle_gamma 90.00
_symmetry_space_group_name_H-M 'P 1'
_symmetry_Int_Tables_number 1
loop_
_symmetry_equiv_pos_as_xyz
'x,y,z'
loop_
_atom_site_label
_atom_site_fract_x
_atom_site_fract_y
_atom_site_fract_z
Rh1 0.641 0.873 0.000
Rh2 0.359 0.127 0.000
Rh3 0.141 0.627 0.000
Rh4 0.859 0.373 0.000
Ho1 0.000 0.000 0.000
Ho2 0.352 0.941 0.235
Ho3 0.648 0.059 0.765
Ho4 0.852 0.794 0.235
Ho5 0.148 0.206 0.765
Ho6 0.500 0.500 0.000
Ho7 0.352 0.706 0.765
Ho8 0.852 0.559 0.765
Ho9 0.648 0.294 0.235
Ho10 0.148 0.441 0.235
Pb1 0.000 0.213 0.427
Pb2 0.500 0.287 0.573
Pb3 0.500 0.713 0.427
Pb4 0.000 0.787 0.573
```